1:
! Mg2SO | the Alexandria database | PBE | relaxed; values from VASP
! - Total moment: 0.00 Bohr magnetons per cell
! - Symmetry: R3m, No. 160
&SYSTEM
  ibrav = 0, nat = 4, ntyp = 3
/
ATOMIC_SPECIES
S 32.06 S.upf
Mg 24.30 Mg.upf
O 16.00 O.upf
ATOMIC_POSITIONS crystal
S 0.668 0.668 0.996
Mg 0.092 0.092 0.723
Mg 0.243 0.243 0.271
O 0.497 0.497 0.510
CELL_PARAMETERS angstrom
3.315 0.000 0.000
1.658 2.871 0.000
1.658 0.957 5.905

=====

2:
! Mg2SO | the Alexandria database | PBE | relaxed; values from VASP
! - Total moment: 0.00 Bohr magnetons per cell
! - Symmetry: R-3m, No. 166
&SYSTEM
  ibrav = 0, nat = 4, ntyp = 3
/
ATOMIC_SPECIES
Mg 24.30 Mg.upf
O 16.00 O.upf
S 32.06 S.upf
ATOMIC_POSITIONS crystal
Mg 0.739 0.739 0.784
O 0.000 0.000 0.000
Mg 0.261 0.261 0.216
S 0.500 0.500 0.500
CELL_PARAMETERS angstrom
3.364 0.000 0.000
1.682 2.914 0.000
1.682 0.971 5.546

=====

3:
! Mg2SO | the Alexandria database | PBE | relaxed; values from VASP
! - Total moment: 0.00 Bohr magnetons per cell
! - Symmetry: Pmmn, No. 59
&SYSTEM
  ibrav = 0, nat = 8, ntyp = 3
/
ATOMIC_SPECIES
O 16.00 O.upf
Mg 24.30 Mg.upf
S 32.06 S.upf
ATOMIC_POSITIONS crystal
O 0.201 0.858 0.690
Mg 0.701 0.858 0.667
O 0.701 0.358 0.526
Mg 0.201 0.858 0.949
S 0.701 0.359 0.945
Mg 0.201 0.358 0.549
Mg 0.701 0.358 0.266
S 0.201 0.859 0.271
CELL_PARAMETERS angstrom
-2.789 -1.193 2.663
2.455 -0.008 2.568
-1.681 7.570 1.630

=====

It is 3 that is the most stable of them.

=====

1:
! Mg2S2O7 | the Alexandria database | PBE | relaxed; values from VASP
! - Total moment: 0.00 Bohr magnetons per cell
! - Symmetry: P-1, No. 2
&SYSTEM
  ibrav = 0, nat = 22, ntyp = 3
/
ATOMIC_SPECIES
S 32.06 S.upf
O 16.00 O.upf
Mg 24.30 Mg.upf
ATOMIC_POSITIONS crystal
S 0.761 0.802 0.311
O 0.375 0.377 0.350
Mg 0.253 0.621 0.028
O 0.881 0.607 0.902
O 0.203 0.952 0.691
S 0.836 0.777 0.804
Mg 0.357 0.743 0.500
O 0.375 0.389 0.851
O 0.989 0.694 0.371
Mg 0.747 0.379 0.972
O 0.716 0.005 0.885
O 0.797 0.048 0.309
O 0.625 0.611 0.149
O 0.284 0.995 0.115
S 0.164 0.223 0.196
S 0.239 0.198 0.689
O 0.119 0.393 0.098
O 0.625 0.623 0.650
Mg 0.643 0.257 0.500
O 0.011 0.306 0.629
O 0.603 0.845 0.409
O 0.397 0.155 0.591
CELL_PARAMETERS angstrom
-3.512 0.263 4.703
-1.465 -5.589 -0.195
9.486 1.450 2.716

=====

2:
! Mg2S2O7 | the Alexandria database | PBE | relaxed; values from VASP
! - Total moment: 0.00 Bohr magnetons per cell
! - Symmetry: C2/m, No. 12
&SYSTEM
  ibrav = 0, nat = 11, ntyp = 3
/
ATOMIC_SPECIES
O 16.00 O.upf
Mg 24.30 Mg.upf
S 32.06 S.upf
ATOMIC_POSITIONS crystal
O 0.197 0.393 0.393
Mg 0.500 0.694 0.306
O 0.292 0.914 0.611
Mg 0.500 0.306 0.694
O 0.708 0.086 0.389
S 0.880 0.213 0.213
O 0.000 0.000 0.000
O 0.292 0.611 0.914
S 0.120 0.787 0.787
O 0.708 0.389 0.086
O 0.803 0.607 0.607
CELL_PARAMETERS angstrom
4.695 -0.269 -0.350
-1.194 5.410 0.301
-1.194 -1.112 5.303

=====

It is 1 that is the most stable of them.

=====

1:
! MgSb2O4 | the Alexandria database | PBE | relaxed; values from VASP
! - Total moment: 0.00 Bohr magnetons per cell
! - Symmetry: R3m, No. 160
&SYSTEM
  ibrav = 0, nat = 14, ntyp = 3
/
ATOMIC_SPECIES
Sb 121.76 Sb.upf
Mg 24.30 Mg.upf
O 16.00 O.upf
ATOMIC_POSITIONS crystal
Sb 0.381 0.381 0.873
Mg 0.995 0.995 0.995
O 0.130 0.130 0.598
O 0.598 0.130 0.130
Sb 0.381 0.873 0.381
O 0.130 0.598 0.130
O 0.591 0.149 0.591
O 0.650 0.650 0.650
O 0.149 0.591 0.591
O 0.134 0.134 0.134
Sb 0.873 0.381 0.381
Sb 0.776 0.776 0.776
Mg 0.372 0.372 0.372
O 0.591 0.591 0.149
CELL_PARAMETERS angstrom
-5.852 -2.809 -0.669
-2.468 -3.203 5.122
-5.060 2.671 3.139

=====

2:
! MgSb2O4 | the Alexandria database | PBE | relaxed; values from VASP
! - Total moment: 0.00 Bohr magnetons per cell
! - Symmetry: P4_2/mbc, No. 135
&SYSTEM
  ibrav = 0, nat = 28, ntyp = 3
/
ATOMIC_SPECIES
Sb 121.76 Sb.upf
O 16.00 O.upf
Mg 24.30 Mg.upf
ATOMIC_POSITIONS crystal
Sb 0.500 0.166 0.824
O 0.750 0.677 0.177
Mg 0.750 0.500 0.000
O 0.750 0.323 0.823
O 0.500 0.134 0.599
Mg 0.250 0.500 0.000
Sb 0.000 0.324 0.666
O 0.500 0.366 0.099
Sb 0.000 0.176 0.166
O 0.500 0.634 0.901
O 0.250 0.823 0.677
O 0.250 0.323 0.823
Sb 0.500 0.666 0.676
O 0.000 0.901 0.366
O 0.750 0.823 0.677
O 0.250 0.677 0.177
O 0.000 0.401 0.134
O 0.500 0.866 0.401
Sb 0.500 0.334 0.324
Sb 0.000 0.824 0.834
O 0.000 0.099 0.634
Sb 0.000 0.676 0.334
Sb 0.500 0.834 0.176
O 0.250 0.177 0.323
O 0.750 0.177 0.323
O 0.000 0.599 0.866
Mg 0.250 0.000 0.500
Mg 0.750 0.000 0.500
CELL_PARAMETERS angstrom
6.074 0.000 0.000
0.000 8.597 0.000
0.000 0.000 8.597

=====

3:
! MgSb2O4 | the Alexandria database | PBE | relaxed; values from VASP
! - Total moment: 0.00 Bohr magnetons per cell
! - Symmetry: C2/m, No. 12
&SYSTEM
  ibrav = 0, nat = 14, ntyp = 3
/
ATOMIC_SPECIES
O 16.00 O.upf
Sb 121.76 Sb.upf
Mg 24.30 Mg.upf
ATOMIC_POSITIONS crystal
O 0.599 0.599 0.227
Sb 0.881 0.881 0.907
O 0.100 0.100 0.727
O 0.900 0.900 0.273
O 0.231 0.231 0.395
O 0.769 0.769 0.605
Sb 0.381 0.381 0.406
O 0.268 0.268 0.105
Sb 0.119 0.119 0.093
Mg 0.750 0.750 0.250
Mg 0.250 0.250 0.750
O 0.732 0.732 0.895
Sb 0.619 0.619 0.594
O 0.401 0.401 0.773
CELL_PARAMETERS angstrom
-1.209 -6.143 2.754
1.526 -6.592 1.002
5.450 -0.974 8.759

=====

4:
! MgSb2O4 | the Alexandria database | PBE | relaxed; values from VASP
! - Total moment: 0.00 Bohr magnetons per cell
! - Symmetry: Pbcm, No. 57
&SYSTEM
  ibrav = 0, nat = 28, ntyp = 3
/
ATOMIC_SPECIES
O 16.00 O.upf
Mg 24.30 Mg.upf
Sb 121.76 Sb.upf
ATOMIC_POSITIONS crystal
O 0.347 0.250 0.240
Mg 0.859 0.250 0.358
Mg 0.141 0.250 0.858
Sb 0.432 0.905 0.873
O 0.653 0.250 0.740
O 0.268 0.605 0.534
O 0.732 0.605 0.034
Mg 0.859 0.750 0.142
Sb 0.432 0.595 0.873
Sb 0.432 0.405 0.627
O 0.753 0.500 0.750
O 0.732 0.105 0.466
Mg 0.141 0.750 0.642
O 0.247 0.500 0.250
O 0.732 0.395 0.466
Sb 0.568 0.405 0.127
Sb 0.568 0.595 0.373
O 0.347 0.750 0.260
O 0.268 0.395 0.966
Sb 0.568 0.905 0.373
O 0.247 0.000 0.250
O 0.653 0.750 0.760
O 0.732 0.895 0.034
O 0.753 0.000 0.750
Sb 0.432 0.095 0.627
O 0.268 0.895 0.534
Sb 0.568 0.095 0.127
O 0.268 0.105 0.966
CELL_PARAMETERS angstrom
-1.164 -2.416 -2.524
8.118 -7.160 3.109
-6.240 -4.115 6.818

=====

It is 2 that is the most stable of them.

=====

1:
! MgSb2O4 | the Alexandria database | PBE | relaxed; values from VASP
! - Total moment: 0.00 Bohr magnetons per cell
! - Symmetry: Imma, No. 74
&SYSTEM
  ibrav = 0, nat = 14, ntyp = 3
/
ATOMIC_SPECIES
O 16.00 O.upf
Sb 121.76 Sb.upf
Mg 24.30 Mg.upf
ATOMIC_POSITIONS crystal
O 0.806 0.257 0.549
O 0.752 0.249 0.997
Sb 0.500 0.500 0.000
O 0.194 0.743 0.451
Sb 0.000 0.500 0.500
Sb 0.602 0.852 0.750
O 0.752 0.755 0.503
O 0.248 0.245 0.497
Sb 0.398 0.148 0.250
Mg 0.000 0.500 0.000
Mg 0.000 0.000 0.500
O 0.792 0.743 0.049
O 0.208 0.257 0.951
O 0.248 0.751 0.003
CELL_PARAMETERS angstrom
-3.136 3.540 4.581
3.136 -3.540 4.581
3.136 3.540 -4.581

=====

2:
! MgSb2O4 | the Alexandria database | PBE | relaxed; values from VASP
! - Total moment: 0.00 Bohr magnetons per cell
! - Symmetry: Pnma, No. 62
&SYSTEM
  ibrav = 0, nat = 28, ntyp = 3
/
ATOMIC_SPECIES
Mg 24.30 Mg.upf
Sb 121.76 Sb.upf
O 16.00 O.upf
ATOMIC_POSITIONS crystal
Mg 0.250 0.163 0.169
Sb 0.250 0.121 0.915
Mg 0.750 0.337 0.669
Sb 0.250 0.980 0.355
O 0.250 0.173 0.650
Sb 0.750 0.379 0.415
Sb 0.750 0.020 0.645
Sb 0.250 0.621 0.585
O 0.250 0.925 0.187
Sb 0.250 0.480 0.145
O 0.250 0.673 0.850
O 0.750 0.606 0.217
O 0.250 0.394 0.783
O 0.750 0.075 0.813
O 0.750 0.580 0.438
O 0.750 0.575 0.687
O 0.750 0.080 0.062
Sb 0.750 0.520 0.855
O 0.250 0.420 0.562
Sb 0.750 0.879 0.085
O 0.750 0.106 0.283
O 0.250 0.920 0.938
O 0.750 0.327 0.150
O 0.750 0.827 0.350
O 0.250 0.894 0.717
Mg 0.250 0.663 0.331
O 0.250 0.425 0.313
Mg 0.750 0.837 0.831
CELL_PARAMETERS angstrom
3.090 0.000 0.000
0.000 10.014 0.000
0.000 0.000 13.166

=====

3:
! MgSb2O4 | the Alexandria database | PBE | relaxed; values from VASP
! - Total moment: 0.00 Bohr magnetons per cell
! - Symmetry: P2_1, No. 4
&SYSTEM
  ibrav = 0, nat = 28, ntyp = 3
/
ATOMIC_SPECIES
O 16.00 O.upf
Sb 121.76 Sb.upf
Mg 24.30 Mg.upf
ATOMIC_POSITIONS crystal
O 0.400 0.255 0.594
Sb 0.521 0.076 0.827
O 0.406 0.887 0.719
Mg 0.258 0.050 0.590
O 0.372 0.090 0.018
Mg 0.746 0.714 0.859
O 0.257 0.050 0.335
Sb 0.912 0.095 0.752
Mg 0.246 0.286 0.141
Sb 0.412 0.905 0.248
Mg 0.758 0.950 0.410
O 0.418 0.425 0.196
O 0.103 0.465 0.203
O 0.906 0.113 0.281
O 0.872 0.910 0.982
O 0.918 0.575 0.804
Sb 0.436 0.620 0.894
O 0.563 0.801 0.003
O 0.603 0.535 0.797
O 0.070 0.940 0.669
O 0.063 0.199 0.997
O 0.757 0.950 0.665
Sb 0.021 0.924 0.173
O 0.570 0.060 0.331
Sb 0.538 0.331 0.396
Sb 0.038 0.669 0.604
O 0.900 0.745 0.406
Sb 0.936 0.380 0.106
CELL_PARAMETERS angstrom
9.625 0.000 0.000
0.000 7.165 0.588
0.000 0.829 7.588

=====

It is 3 that is the most stable of them.

=====

1:
! Mg2SbO | the Alexandria database | PBE | relaxed; values from VASP
! - Total moment: 0.00 Bohr magnetons per cell
! - Symmetry: I-42d, No. 122
&SYSTEM
  ibrav = 0, nat = 8, ntyp = 3
/
ATOMIC_SPECIES
Sb 121.76 Sb.upf
O 16.00 O.upf
Mg 24.30 Mg.upf
ATOMIC_POSITIONS crystal
Sb 0.750 0.250 0.500
O 0.500 0.500 0.000
Mg 0.492 0.125 0.250
Mg 0.875 0.742 0.750
Mg 0.258 0.625 0.250
Mg 0.375 0.508 0.750
O 0.250 0.750 0.500
Sb 0.000 0.000 0.000
CELL_PARAMETERS angstrom
-4.933 -2.131 2.930
3.452 -1.262 4.894
-1.498 2.159 5.440

=====

2:
! Mg2SbO | the Alexandria database | PBE | relaxed; values from VASP
! - Total moment: 1.00 Bohr magnetons per cell
! - Symmetry: Fm-3m, No. 225
&SYSTEM
  ibrav = 0, nat = 4, ntyp = 3
/
ATOMIC_SPECIES
Mg 24.30 Mg.upf
O 16.00 O.upf
Sb 121.76 Sb.upf
ATOMIC_POSITIONS crystal
Mg 0.250 0.250 0.250
O 0.000 0.000 0.000
Mg 0.750 0.750 0.750
Sb 0.500 0.500 0.500
CELL_PARAMETERS angstrom
0.000 3.332 3.332
3.332 0.000 3.332
3.332 3.332 0.000

=====

3:
! Mg2SbO | the Alexandria database | PBE | relaxed; values from VASP
! - Total moment: 0.00 Bohr magnetons per cell
! - Symmetry: R-3m, No. 166
&SYSTEM
  ibrav = 0, nat = 4, ntyp = 3
/
ATOMIC_SPECIES
Sb 121.76 Sb.upf
Mg 24.30 Mg.upf
O 16.00 O.upf
ATOMIC_POSITIONS crystal
Sb 0.500 0.500 0.500
Mg 0.277 0.277 0.170
O 0.000 0.000 0.000
Mg 0.723 0.723 0.830
CELL_PARAMETERS angstrom
3.379 0.000 0.000
1.690 2.926 0.000
1.690 0.975 6.861

=====

It is 1 that is the most stable of them.

=====

1:
! MgSbO2 | the Alexandria database | PBE | relaxed; values from VASP
! - Total moment: 0.00 Bohr magnetons per cell
! - Symmetry: R-3m, No. 166
&SYSTEM
  ibrav = 0, nat = 4, ntyp = 3
/
ATOMIC_SPECIES
Sb 121.76 Sb.upf
O 16.00 O.upf
Mg 24.30 Mg.upf
ATOMIC_POSITIONS crystal
Sb 0.000 0.000 0.000
O 0.109 0.109 0.109
O 0.891 0.891 0.891
Mg 0.500 0.500 0.500
CELL_PARAMETERS angstrom
0.850 -6.426 0.076
3.753 -5.272 0.376
1.884 -5.490 2.887

=====

2:
! MgSbO2 | the Alexandria database | PBE | relaxed; values from VASP
! - Total moment: 0.00 Bohr magnetons per cell
! - Symmetry: I-42d, No. 122
&SYSTEM
  ibrav = 0, nat = 8, ntyp = 3
/
ATOMIC_SPECIES
Sb 121.76 Sb.upf
O 16.00 O.upf
Mg 24.30 Mg.upf
ATOMIC_POSITIONS crystal
Sb 0.750 0.250 0.500
O 0.375 0.438 0.750
Sb 0.000 0.000 0.000
O 0.562 0.125 0.250
Mg 0.500 0.500 0.000
O 0.188 0.625 0.250
O 0.875 0.812 0.750
Mg 0.250 0.750 0.500
CELL_PARAMETERS angstrom
5.157 0.000 0.000
0.000 5.157 0.000
2.579 2.579 4.698

=====

3:
! MgSbO2 | the Alexandria database | PBE | relaxed; values from VASP
! - Total moment: 0.00 Bohr magnetons per cell
! - Symmetry: Fm-3m, No. 225
&SYSTEM
  ibrav = 0, nat = 4, ntyp = 3
/
ATOMIC_SPECIES
Mg 24.30 Mg.upf
O 16.00 O.upf
Sb 121.76 Sb.upf
ATOMIC_POSITIONS crystal
Mg 0.000 0.000 0.000
O 0.250 0.250 0.250
Sb 0.500 0.500 0.500
O 0.750 0.750 0.750
CELL_PARAMETERS angstrom
0.050 -3.140 -2.804
-1.929 -3.638 0.878
-3.528 -1.058 -2.039

=====

It is 1 that is the most stable of them.